Material: ReOsRh2
Method: DFT, PBE
State: relaxed

V: 57 Å³/f.u.
Energy relative to the elements: 0.035 eV/atom
Distance to the lowest polymorph of the same formula: 94 meV per atom

abc: 2.704 3.933 5.394
angles: 90.00 90.00 90.00
Positions (direct):
Re 0.000 0.000 0.000
Os 0.000 0.000 0.500
Rh 0.500 0.500 0.251
Rh 0.500 0.500 0.749

***

Material: InNiPt6
Method: DFT, PBE
State: relaxed

V: 125 Å³/f.u.
Energy relative to the elements: -0.194 eV/atom

abc: 3.972 3.972 7.945
angles: 90.00 90.00 90.00
Positions (direct):
In 0.000 0.000 0.000
Ni 0.000 0.000 0.500
Pt 0.000 0.500 0.262
Pt 0.000 0.500 0.738
Pt 0.500 0.000 0.262
Pt 0.500 0.000 0.738
Pt 0.500 0.500 0.000
Pt 0.500 0.500 0.500

***

Material: Mg2PC
Method: DFT, PBE
State: relaxed

V: 67 Å³/f.u.
Energy relative to the elements: 0.527 eV/atom
Distance to the lowest polymorph of the same formula: 0 meV per atom

abc: 6.243 6.243 6.243
angles: 95.37 95.37 144.37
Positions (direct):
Mg 0.375 0.029 0.154
Mg 0.779 0.625 0.654
Mg 0.875 0.221 0.846
Mg 0.971 0.125 0.346
P 0.250 0.750 0.500
P 0.500 0.500 0.000
C 0.000 0.000 0.000
C 0.750 0.250 0.500

***

Material: CaOs2Se
Method: DFT, PBE
State: relaxed

ΔE_f (raw): 0.4544 eV per atom
V: 70 Å³/f.u.

abc: 2.914 4.640 5.181
angles: 90.00 90.00 90.00
Positions (direct):
Ca 0.000 0.000 0.000
Os 0.000 0.500 0.500
Os 0.500 0.000 0.500
Se 0.500 0.500 0.000

***

Material: KSrCa2Zn
Method: DFT, PBE
State: relaxed

V: 227 Å³/f.u.
Energy relative to the elements: 0.027 eV/atom
Distance to the lowest polymorph of the same formula: 0 meV per atom

abc: 6.049 6.049 6.197
angles: 90.00 90.00 90.00
Positions (direct):
K 0.000 0.000 0.000
Sr 0.500 0.500 0.000
Ca 0.000 0.500 0.500
Ca 0.500 0.000 0.500
Zn 0.500 0.500 0.500

***

Material: K4U3CrS8
Method: DFT, PBE
State: relaxed

ΔE_f (raw): -1.2526 eV per atom
V: 406 Å³/f.u.

abc: 8.722 8.722 8.722
angles: 54.20 54.20 54.20
Positions (direct):
K 0.000 0.000 0.000
K 0.000 0.500 0.500
K 0.500 0.000 0.500
K 0.500 0.500 0.000
U 0.000 0.000 0.500
U 0.000 0.500 0.000
U 0.500 0.000 0.000
Cr 0.500 0.500 0.500
S 0.235 0.235 0.235
S 0.238 0.730 0.730
S 0.270 0.270 0.762
S 0.270 0.762 0.270
S 0.730 0.238 0.730
S 0.730 0.730 0.238
S 0.762 0.270 0.270
S 0.765 0.765 0.765

***

Material: AcGdTmIn
Method: DFT, PBE
State: relaxed

V: 127 Å³/f.u.
Energy relative to the elements: -0.122 eV/atom

abc: 5.649 5.649 5.649
angles: 60.00 60.00 60.00
Positions (direct):
Ac 0.000 0.000 0.000
Gd 0.500 0.500 0.500
Tm 0.750 0.750 0.750
In 0.250 0.250 0.250

***

Material: Y3AsSeS
Method: DFT, PBE
State: relaxed

ΔE_f (raw): -1.4387 eV per atom
V: 154 Å³/f.u.

abc: 7.891 7.891 6.739
angles: 98.19 98.19 129.09
Positions (direct):
Y 0.172 0.324 0.001
Y 0.245 0.755 0.750
Y 0.324 0.172 0.501
Y 0.676 0.828 0.499
Y 0.755 0.245 0.250
Y 0.828 0.676 0.999
As 0.435 0.565 0.750
As 0.565 0.435 0.250
Se 0.250 0.750 0.250
Se 0.750 0.250 0.750
S 0.057 0.943 0.750
S 0.943 0.057 0.250

***

Material: Ta3HgBr
Method: DFT, PBE
State: relaxed

ΔE_f (raw): 1.4947 eV per atom
V: 106 Å³/f.u.
Distance to the lowest polymorph of the same formula: 0 meV per atom

abc: 4.737 4.737 4.737
angles: 90.00 90.00 90.00
Positions (direct):
Ta 0.000 0.000 0.500
Ta 0.000 0.500 0.000
Ta 0.500 0.000 0.000
Hg 0.500 0.500 0.500
Br 0.000 0.000 0.000

***

Material: BH2Ru2
Method: DFT, PBE
State: relaxed

V: 40 Å³/f.u.
Distance to the lowest polymorph of the same formula: 0 meV per atom

abc: 5.440 5.440 5.440
angles: 150.14 150.14 42.74
Positions (direct):
B 0.000 0.000 0.000
H 0.250 0.750 0.500
H 0.750 0.250 0.500
Ru 0.373 0.373 0.000
Ru 0.627 0.627 0.000

***

Please write out number 8 again, unchanged.
Material: Y3AsSeS
Method: DFT, PBE
State: relaxed

ΔE_f (raw): -1.4387 eV per atom
V: 154 Å³/f.u.

abc: 7.891 7.891 6.739
angles: 98.19 98.19 129.09
Positions (direct):
Y 0.172 0.324 0.001
Y 0.245 0.755 0.750
Y 0.324 0.172 0.501
Y 0.676 0.828 0.499
Y 0.755 0.245 0.250
Y 0.828 0.676 0.999
As 0.435 0.565 0.750
As 0.565 0.435 0.250
Se 0.250 0.750 0.250
Se 0.750 0.250 0.750
S 0.057 0.943 0.750
S 0.943 0.057 0.250

***

- Number 1 is which compound?
  ReOsRh2

***

- Which value of V does entry 7 give?
  127 Å³/f.u.